Entry 1:
# CdHgN2

Crystalline CdHgN2 at its relaxed geometry (PBE, Alexandria via LeMat-Bulk).

```
CdHgN2
1.0
5.1275 0.0000 0.0000
0.0000 5.1275 0.0000
2.5638 2.5638 5.2248
N Hg Cd
4 2 2
direct
0.6272 0.1250 0.2500
0.1228 0.6250 0.2500
0.3750 0.3728 0.7500
0.8750 0.8772 0.7500
0.0000 0.0000 0.0000
0.7500 0.2500 0.5000
0.5000 0.5000 0.0000
0.2500 0.7500 0.5000
```

## Properties
The value obtained for the distance to the lowest polymorph of the same formula is 0.117 eV/atom. The value obtained for the total moment is 0.00 μB per atom. Its density of states at the Fermi level is 2.580 states/eV/f.u. Its electronic total energy is -25.00 eV for the cell shown.



Entry 2:
# CdHg3N

Crystalline CdHg3N at its relaxed geometry (PBE, Alexandria via LeMat-Bulk).

```
CdHg3N
1.0
-5.4692 1.2774 1.6417
-2.0157 -2.1139 -5.0703
-0.5138 -5.3046 2.4159
N Hg Cd
1 3 1
direct
0.5000 0.5000 0.5000
0.0000 0.5000 0.0000
0.0000 0.0000 0.5000
0.5000 0.0000 0.0000
0.0000 0.0000 0.0000
```

## Properties
The value obtained for the distance to the lowest polymorph of the same formula is 0.536 eV/atom. The value obtained for the total moment is 0.56 μB per atom. Its density of states at the Fermi level is 2.067 states/eV/f.u. Its electronic total energy is -4.70 eV for the cell shown.



Entry 3:
# Cd3HgN

Crystalline Cd3HgN at its relaxed geometry (PBE, Alexandria via LeMat-Bulk).

```
Cd3HgN
1.0
-1.3731 -4.4824 -0.0239
1.8334 -0.5844 4.2749
-4.0903 1.2427 1.9241
N Hg Cd
1 1 3
direct
0.0000 0.0000 0.0000
0.5000 0.5000 0.5000
0.0000 0.5000 0.0000
0.0000 0.0000 0.5000
0.5000 0.0000 0.0000
```

## Properties
The value obtained for the distance to the lowest polymorph of the same formula is 0.000 eV/atom. The value obtained for the total moment is 0.00 μB per atom. Its density of states at the Fermi level is 2.526 states/eV/f.u. Its electronic total energy is -9.35 eV for the cell shown.



Entry 4:
# Cd2Hg3N2

Crystalline Cd2Hg3N2 at its relaxed geometry (PBE, Alexandria via LeMat-Bulk).

```
Cd2Hg3N2
1.0
3.0838 -0.4879 2.1784
0.7832 2.4942 2.7857
0.1048 -2.4548 19.2778
Cd Hg N
2 3 2
direct
0.1614 0.7682 0.8177
0.8386 0.2318 0.1823
0.5000 0.0000 0.0000
0.3631 0.8508 0.4037
0.6369 0.1492 0.5963
0.2205 0.6335 0.1545
0.7795 0.3665 0.8455
```

## Properties
The value obtained for the total moment is 0.00 μB per atom. Its density of states at the Fermi level is 1.088 states/eV/f.u. Its electronic total energy is -16.11 eV for the cell shown.



Entry 5:
# Cd4HgN2

Crystalline Cd4HgN2 at its relaxed geometry (PBE, Alexandria via LeMat-Bulk).

```
Cd4HgN2
1.0
-2.7635 -1.0756 -1.8972
1.7753 -4.4399 -0.0689
-3.4930 0.9419 7.8201
Cd Hg N
4 1 2
direct
0.0973 0.5918 0.1947
0.9027 0.4082 0.8053
0.2934 0.7927 0.5868
0.7066 0.2073 0.4132
0.0000 0.0000 0.0000
0.3105 0.3073 0.6209
0.6895 0.6927 0.3791
```

## Properties
The value obtained for the total moment is 0.00 μB per atom. Its density of states at the Fermi level is 1.835 states/eV/f.u. Its electronic total energy is -17.26 eV for the cell shown.



Entry 6:
# CdHgN2

Crystalline CdHgN2 at its relaxed geometry (PBE, Alexandria via LeMat-Bulk).

```
CdHgN2
1.0
0.0000 3.0262 3.0262
3.0262 0.0000 3.0262
3.0262 3.0262 0.0000
N Hg Cd
2 1 1
direct
0.2500 0.2500 0.2500
0.7500 0.7500 0.7500
0.5000 0.5000 0.5000
0.0000 0.0000 0.0000
```

## Properties
The value obtained for the distance to the lowest polymorph of the same formula is 0.428 eV/atom. The value obtained for the total moment is 0.51 μB per atom. Its density of states at the Fermi level is 1.215 states/eV/f.u. Its electronic total energy is -11.26 eV for the cell shown.



Entry 7:
# CdHg3N

Crystalline CdHg3N at its relaxed geometry (PBE, Alexandria via LeMat-Bulk).

```
CdHg3N
1.0
5.2849 0.7436 0.4029
2.6431 8.8997 -0.1912
0.9271 -0.6985 5.9729
Cd Hg N
2 6 2
direct
0.9951 0.5546 0.5205
0.3730 0.7452 0.5339
0.3692 0.2377 0.2540
0.9989 0.0622 0.8005
0.4083 0.4463 0.7526
0.7958 0.4518 0.1753
0.9598 0.8536 0.3020
0.5724 0.8480 0.8792
0.6777 0.3136 0.9517
0.6905 0.9862 0.1027
```

## Properties
The value obtained for the distance to the lowest polymorph of the same formula is 0.000 eV/atom. The value obtained for the total moment is 0.00 μB per atom. Its density of states at the Fermi level is 0.744 states/eV/f.u. Its electronic total energy is -14.75 eV for the cell shown.



Entry 8:
# CdHg3N

Crystalline CdHg3N at its relaxed geometry (PBE, Alexandria via LeMat-Bulk).

```
CdHg3N
1.0
-1.4947 2.1989 -4.0702
1.0361 -4.0095 -2.5466
-4.5086 -1.6504 0.7641
N Hg Cd
1 3 1
direct
0.0000 0.0000 0.0000
0.0000 0.5000 0.0000
0.0000 0.0000 0.5000
0.5000 0.0000 0.0000
0.5000 0.5000 0.5000
```

## Properties
The value obtained for the distance to the lowest polymorph of the same formula is 0.185 eV/atom. The value obtained for the total moment is 0.00 μB per atom. Its density of states at the Fermi level is 2.071 states/eV/f.u. Its electronic total energy is -6.45 eV for the cell shown.



Entry 9:
# CdHgN

Crystalline CdHgN at its relaxed geometry (PBE, Alexandria via LeMat-Bulk).

```
CdHgN
1.0
3.9654 0.0000 0.0000
0.0000 7.8639 -0.5214
0.0000 0.0850 12.6960
Cd Hg N
4 4 4
direct
0.7500 0.3813 0.5726
0.2500 0.1187 0.4274
0.2500 0.6187 0.4274
0.7500 0.8813 0.5726
0.7499 0.3580 0.3154
0.2499 0.1420 0.6846
0.2501 0.6420 0.6846
0.7501 0.8580 0.3154
0.4229 0.0527 0.9853
0.9229 0.4473 0.0147
0.5771 0.9473 0.0147
0.0771 0.5527 0.9853
```

## Properties
The value obtained for the total moment is 0.00 μB per atom. Its density of states at the Fermi level is 0.286 states/eV/f.u. Its electronic total energy is -37.11 eV for the cell shown.



Entry 10:
# CdHgN2

Crystalline CdHgN2 at its relaxed geometry (PBE, Alexandria via LeMat-Bulk).

```
CdHgN2
1.0
2.0241 0.0000 6.2896
-1.0121 1.7530 6.2896
-1.0121 -1.7530 6.2896
N Hg Cd
2 1 1
direct
0.8916 0.8916 0.8916
0.1084 0.1084 0.1084
0.0000 0.0000 0.0000
0.5000 0.5000 0.5000
```

## Properties
The value obtained for the distance to the lowest polymorph of the same formula is 0.000 eV/atom. The value obtained for the total moment is 0.00 μB per atom. Its density of states at the Fermi level is 2.470 states/eV/f.u. Its electronic total energy is -12.97 eV for the cell shown.



Entry 11:
# Cd4Hg5N2

Crystalline Cd4Hg5N2 at its relaxed geometry (PBE, Alexandria via LeMat-Bulk).

```
Cd4Hg5N2
1.0
-2.8087 -0.0623 2.8036
8.0739 -6.3098 7.9481
1.0875 5.9872 -1.5868
Cd Hg N
4 5 2
direct
0.6392 0.4018 0.2784
0.8802 0.3635 0.7605
0.3608 0.5982 0.7216
0.1198 0.6365 0.2395
0.1663 0.2083 0.3326
0.8337 0.7917 0.6674
0.1457 0.8876 0.2914
0.5000 0.0000 0.0000
0.8543 0.1124 0.7086
0.8979 0.5508 0.7957
0.1021 0.4492 0.2043
```

## Properties
The value obtained for the total moment is 0.00 μB per atom. Its density of states at the Fermi level is 2.985 states/eV/f.u. Its electronic total energy is -18.45 eV for the cell shown.



Entry 12:
# Nd2CdHgN

Crystalline Nd2CdHgN at its relaxed geometry (PBE, Alexandria via LeMat-Bulk).

```
Nd2CdHgN
1.0
4.0557 0.0000 0.0000
0.0000 4.0557 0.0000
0.0000 0.0000 14.1730
Nd Cd Hg N
4 2 2 2
direct
0.0000 0.5000 0.7508
0.0000 0.5000 0.0808
0.5000 0.0000 0.9192
0.5000 0.0000 0.2492
0.0000 0.0000 0.5000
0.5000 0.5000 0.5000
0.5000 0.0000 0.6596
0.0000 0.5000 0.3404
0.5000 0.0000 0.0849
0.0000 0.5000 0.9151
```

## Properties
The value obtained for the total moment is 0.00 μB per atom. Its density of states at the Fermi level is 2.994 states/eV/f.u. Its electronic total energy is -44.42 eV for the cell shown.



Please write out number 6 again, unchanged.
# CdHgN2

Crystalline CdHgN2 at its relaxed geometry (PBE, Alexandria via LeMat-Bulk).

```
CdHgN2
1.0
0.0000 3.0262 3.0262
3.0262 0.0000 3.0262
3.0262 3.0262 0.0000
N Hg Cd
2 1 1
direct
0.2500 0.2500 0.2500
0.7500 0.7500 0.7500
0.5000 0.5000 0.5000
0.0000 0.0000 0.0000
```

## Properties
The value obtained for the distance to the lowest polymorph of the same formula is 0.428 eV/atom. The value obtained for the total moment is 0.51 μB per atom. Its density of states at the Fermi level is 1.215 states/eV/f.u. Its electronic total energy is -11.26 eV for the cell shown.



Repeat the sixth record exactly.
# CdHgN2

Crystalline CdHgN2 at its relaxed geometry (PBE, Alexandria via LeMat-Bulk).

```
CdHgN2
1.0
0.0000 3.0262 3.0262
3.0262 0.0000 3.0262
3.0262 3.0262 0.0000
N Hg Cd
2 1 1
direct
0.2500 0.2500 0.2500
0.7500 0.7500 0.7500
0.5000 0.5000 0.5000
0.0000 0.0000 0.0000
```

## Properties
The value obtained for the distance to the lowest polymorph of the same formula is 0.428 eV/atom. The value obtained for the total moment is 0.51 μB per atom. Its density of states at the Fermi level is 1.215 states/eV/f.u. Its electronic total energy is -11.26 eV for the cell shown.



> electronic total energy of number 9 (CdHgN)?

-37.11 eV for the cell shown



> Which value of electronic total energy does entry 10 give?

-12.97 eV for the cell shown